Entry i
The following is a GGA-PBE calculation of a relaxed Al3Hg crystal, from Alexandria.

Structure (extended XYZ):
```
8
Lattice="4.216 -4.279 0.000 4.216 4.279 0.000 0.000 0.000 4.141" Properties=species:S:1:pos:R:3 pbc="T T T"
Al 6.362 1.029 3.106
Al 4.216 -3.302 1.035
Al 2.070 1.029 3.106
Al 2.070 -1.029 1.035
Al 6.362 -1.029 1.035
Al 4.216 3.302 3.106
Hg 4.216 1.209 1.035
Hg 4.216 -1.209 3.106
```

Properties
The magnetic moment comes out at 0.000 μB/atom. As for the crystal system: orthorhombic. The space-group type is Cmcm, No. 63. The density of states at the Fermi level comes out at 3.72 states/eV per cell.

=====

Entry ii
The following is a GGA-PBE calculation of a relaxed Al3Hg crystal, from Alexandria.

Structure (extended XYZ):
```
16
Lattice="6.573 0.000 0.000 0.000 5.247 0.000 0.000 0.000 8.788" Properties=species:S:1:pos:R:3 pbc="T T T"
Hg 3.892 4.848 6.591
Hg 2.681 0.399 2.197
Hg 0.605 3.023 2.197
Hg 5.968 2.224 6.591
Al 2.385 3.737 4.330
Al 0.901 1.113 0.065
Al 2.331 2.083 6.591
Al 4.188 1.510 8.724
Al 4.242 3.164 2.197
Al 0.901 1.113 4.330
Al 5.672 4.134 8.724
Al 4.188 1.510 4.459
Al 5.618 0.540 2.197
Al 0.956 4.707 6.591
Al 2.385 3.737 0.065
Al 5.672 4.134 4.459
```

Properties
The magnetic moment comes out at 0.000 μB/atom. As for the crystal system: orthorhombic. The space-group type is Pnma, No. 62. The density of states at the Fermi level comes out at 6.17 states/eV per cell.

=====

Entry iii
The following is a GGA-PBE calculation of a relaxed Al3Hg crystal, from Alexandria.

Structure (extended XYZ):
```
4
Lattice="5.189 0.000 0.000 0.000 5.189 0.000 0.000 0.000 5.189" Properties=species:S:1:pos:R:3 pbc="T T T"
Hg 0.000 0.000 0.000
Al 0.000 0.000 2.594
Al 2.594 0.000 0.000
Al 0.000 2.594 0.000
```

Properties
The magnetic moment comes out at 0.000 μB/atom. As for the crystal system: cubic. The space-group type is Pm-3m, No. 221. The density of states at the Fermi level comes out at 2.59 states/eV per cell.

=====

Entry iv
The following is a GGA-PBE calculation of a relaxed Al3Hg crystal, from Alexandria.

Structure (extended XYZ):
```
8
Lattice="2.967 -5.140 0.000 2.967 5.140 0.000 0.000 0.000 4.974" Properties=species:S:1:pos:R:3 pbc="T T T"
Al 2.967 3.514 3.730
Al 4.527 -0.813 1.243
Al 4.527 0.813 3.730
Al 1.408 -0.813 1.243
Al 1.408 0.813 3.730
Al 2.967 -3.514 1.243
Hg 2.967 1.713 1.243
Hg 2.967 -1.713 3.730
```

Properties
The magnetic moment comes out at 0.000 μB/atom. As for the crystal system: hexagonal. The space-group type is P6_3/mmc, No. 194. The density of states at the Fermi level comes out at 2.30 states/eV per cell.

=====

So which one is most stable? That would be entry ii, about 18 meV/atom below the next structure.

=====

Entry i
The following is a GGA-PBE calculation of a relaxed Al3Hg crystal, from Alexandria.

Structure (extended XYZ):
```
4
Lattice="-1.921 -0.070 2.416 -2.405 -0.252 -1.920 0.609 -7.782 0.260" Properties=species:S:1:pos:R:3 pbc="T T T"
Hg -1.707 -5.997 0.443
Al 0.014 -0.180 0.006
Al 0.290 -3.710 0.124
Al -2.011 -2.106 0.313
```

Properties
The magnetic moment comes out at 0.000 μB/atom. As for the crystal system: tetragonal. The space-group type is P4/mmm, No. 123. The density of states at the Fermi level comes out at 1.53 states/eV per cell.

=====

Entry ii
The following is a GGA-PBE calculation of a relaxed Al3Hg crystal, from Alexandria.

Structure (extended XYZ):
```
4
Lattice="-5.194 1.600 -0.853 0.922 -3.137 4.425 3.943 3.594 -1.345" Properties=species:S:1:pos:R:3 pbc="T T T"
Hg 2.433 0.228 1.540
Al -2.136 -0.768 1.786
Al -0.626 2.597 -1.099
Al 0.000 0.000 0.000
```

Properties
The magnetic moment comes out at 0.000 μB/atom. As for the crystal system: trigonal. The space-group type is R-3m, No. 166. The density of states at the Fermi level comes out at 0.98 states/eV per cell.

=====

So which one is most stable? That would be entry i, about 82 meV/atom below the next structure.

=====

Entry i
The following is a GGA-PBE calculation of a relaxed Al3Hg5 crystal, from Alexandria.

Structure (extended XYZ):
```
8
Lattice="4.163 -4.517 0.000 4.163 4.517 0.000 0.000 0.000 4.724" Properties=species:S:1:pos:R:3 pbc="T T T"
Al 4.163 0.000 0.000
Al 4.163 2.372 2.362
Al 4.163 -2.372 2.362
Hg 6.041 0.000 2.362
Hg 0.000 0.000 0.000
Hg 2.081 -2.259 0.000
Hg 2.081 2.259 0.000
Hg 2.284 0.000 2.362
```

Properties
The magnetic moment comes out at 0.000 μB/atom. As for the crystal system: orthorhombic. The space-group type is Cmmm, No. 65. The density of states at the Fermi level comes out at 2.12 states/eV per cell.

=====

Entry ii
The following is a GGA-PBE calculation of a relaxed Al3Hg5 crystal, from Alexandria.

Structure (extended XYZ):
```
16
Lattice="8.271 0.000 0.000 -4.136 7.163 0.000 0.000 0.000 6.122" Properties=species:S:1:pos:R:3 pbc="T T T"
Al -2.442 4.230 1.530
Al 1.693 2.933 1.530
Al 4.884 0.000 1.530
Al 2.442 4.230 4.591
Al 3.387 0.000 4.591
Al -1.693 2.933 4.591
Hg 0.936 1.622 4.591
Hg 0.000 4.775 3.061
Hg -3.199 5.541 4.591
Hg 3.199 5.541 1.530
Hg 6.398 0.000 4.591
Hg 1.873 0.000 1.530
Hg 4.136 2.388 3.061
Hg -0.936 1.622 1.530
Hg 0.000 4.775 0.000
Hg 4.136 2.388 0.000
```

Properties
The magnetic moment comes out at 0.000 μB/atom. As for the crystal system: hexagonal. The space-group type is P6_3/mcm, No. 193. The density of states at the Fermi level comes out at 5.33 states/eV per cell.

=====

So which one is most stable? That would be entry ii, about 22 meV/atom below the next structure.

=====

Entry i
The following is a GGA-PBE calculation of a relaxed Al4Hg crystal, from Alexandria.

Structure (extended XYZ):
```
5
Lattice="-3.276 3.276 2.119 3.276 -3.276 2.119 3.276 3.276 -2.119" Properties=species:S:1:pos:R:3 pbc="T T T"
Al 3.916 1.256 0.000
Al 1.256 2.637 0.000
Al -0.639 2.020 2.119
Al 2.020 0.639 2.119
Hg 0.000 0.000 0.000
```

Properties
The magnetic moment comes out at 0.000 μB/atom. As for the crystal system: tetragonal. The space-group type is I4/m, No. 87. The density of states at the Fermi level comes out at 2.01 states/eV per cell.

=====

Entry ii
The following is a GGA-PBE calculation of a relaxed Al4Hg crystal, from Alexandria.

Structure (extended XYZ):
```
5
Lattice="-4.375 -0.161 -2.532 1.843 -3.671 -2.950 -1.744 -3.475 3.234" Properties=species:S:1:pos:R:3 pbc="T T T"
Al 0.000 0.000 0.000
Al -1.266 -1.916 -2.741
Al 0.050 -3.573 0.142
Al -3.059 -1.818 0.351
Hg -2.138 -3.654 -1.124
```

Properties
The magnetic moment comes out at 0.000 μB/atom. As for the crystal system: cubic. The space-group type is Pm-3m, No. 221. The density of states at the Fermi level comes out at 3.44 states/eV per cell.

=====

Entry iii
The following is a GGA-PBE calculation of a relaxed Al4Hg crystal, from Alexandria.

Structure (extended XYZ):
```
5
Lattice="6.831 -0.897 -0.570 5.145 4.493 -1.062 -5.709 -1.455 3.616" Properties=species:S:1:pos:R:3 pbc="T T T"
Hg 0.000 0.000 0.000
Al 4.740 1.423 -0.646
Al 3.555 -0.277 1.115
Al 2.712 2.418 0.869
Al 7.237 2.173 -0.986
```

Properties
The magnetic moment comes out at 0.000 μB/atom. As for the crystal system: tetragonal. The space-group type is I4/mmm, No. 139. The density of states at the Fermi level comes out at 2.21 states/eV per cell.

=====

So which one is most stable? That would be entry i, about 30 meV/atom below the next structure.

=====

Entry i
The following is a GGA-PBE calculation of a relaxed Ho4Al3Hg crystal, from Alexandria.

Structure (extended XYZ):
```
8
Lattice="-2.934 -1.786 0.964 1.974 -2.904 0.629 1.956 4.371 14.047" Properties=species:S:1:pos:R:3 pbc="T T T"
Ho 1.691 3.779 12.146
Ho 0.265 0.592 1.901
Ho 0.742 1.658 5.327
Ho 1.214 2.713 8.719
Al 0.974 0.904 11.240
Al 0.022 -1.224 4.400
Al 0.498 -0.160 7.820
Hg -0.480 -2.345 0.796
```

Properties
The magnetic moment comes out at 0.000 μB/atom. As for the crystal system: tetragonal. The space-group type is P4/mmm, No. 123. The density of states at the Fermi level comes out at 3.58 states/eV per cell.

=====

Entry ii
The following is a GGA-PBE calculation of a relaxed Ho4Al3Hg crystal, from Alexandria.

Structure (extended XYZ):
```
8
Lattice="-0.486 -0.456 3.649 1.200 -4.357 -0.385 11.140 2.905 1.848" Properties=species:S:1:pos:R:3 pbc="T T T"
Hg 1.173 -2.194 1.768
Ho 7.051 1.674 3.035
Ho 9.980 0.267 1.363
Ho 1.730 0.451 0.287
Ho 4.236 -1.395 2.276
Al 6.932 -0.528 0.858
Al 4.805 1.253 0.797
Al 10.080 2.464 3.537
```

Properties
The magnetic moment comes out at 0.019 μB/atom. As for the crystal system: orthorhombic. The space-group type is Pmm2, No. 25. The density of states at the Fermi level comes out at 6.97 states/eV per cell.

=====

So which one is most stable? That would be entry i, about 23 meV/atom below the next structure.

=====

Entry i
The following is a GGA-PBE calculation of a relaxed Ho2Al3Hg crystal, from Alexandria.

Structure (extended XYZ):
```
6
Lattice="-2.683 -2.263 -0.374 0.491 0.172 -4.558 5.115 -6.118 0.320" Properties=species:S:1:pos:R:3 pbc="T T T"
Al 2.332 -5.146 -2.251
Al 2.920 -6.229 0.080
Al -0.510 -2.126 -0.135
Hg 0.608 -3.084 -2.359
Ho 5.321 -5.986 -1.961
Ho 2.600 -3.110 0.163
```

Properties
The magnetic moment comes out at 0.000 μB/atom. As for the crystal system: orthorhombic. The space-group type is Pmm2, No. 25. The density of states at the Fermi level comes out at 2.62 states/eV per cell.

=====

Entry ii
The following is a GGA-PBE calculation of a relaxed Ho2Al3Hg crystal, from Alexandria.

Structure (extended XYZ):
```
12
Lattice="-1.686 -3.224 4.538 0.571 -3.790 -4.376 8.152 2.346 1.915" Properties=species:S:1:pos:R:3 pbc="T T T"
Al 0.121 -3.555 2.664
Al 1.263 -3.841 -1.844
Al 2.494 -0.381 0.656
Al 4.543 -4.286 1.422
Al 5.774 -0.827 3.922
Al 6.915 -1.113 -0.586
Hg 5.059 -0.773 1.330
Hg 1.978 -3.894 0.748
Ho 4.083 -2.475 -1.190
Ho -0.279 -1.756 0.041
Ho 2.954 -2.192 3.267
Ho -0.836 -5.258 0.122
```

Properties
The magnetic moment comes out at 0.000 μB/atom. As for the crystal system: orthorhombic. The space-group type is Fmmm, No. 69. The density of states at the Fermi level comes out at 6.82 states/eV per cell.

=====

So which one is most stable? That would be entry i, about 15 meV/atom below the next structure.